# ScMnPb2O6 | Alexandria | PBE+U | optimized geometry
data_ScMnPb2O6
_chemical_formula_sum 'Sc2 Mn2 Pb4 O12'
_space_group_name_H-M_alt 'P 1 21/c 1'
_space_group_IT_number 14
_cell_length_a 5.611
_cell_length_b 5.655
_cell_length_c 9.738
_cell_angle_alpha 90.00
_cell_angle_beta 125.16
_cell_angle_gamma 90.00
loop_
_space_group_symop_operation_xyz
'x,y,z'
'-x,-y,-z'
'-x,y+1/2,-z+1/2'
'x,-y+1/2,z+1/2'
loop_
_atom_site_label
_atom_site_type_symbol
_atom_site_fract_x
_atom_site_fract_y
_atom_site_fract_z
_atom_site_occupancy
Sc1 Sc 0.000 0.000 0.000 1
Mn1 Mn 0.500 0.000 0.500 1
Pb1 Pb 0.256 0.032 0.750 1
O1 O 0.192 0.015 0.261 1
O2 O 0.262 0.704 0.035 1
O3 O 0.334 0.225 0.036 1
# Calculated total energy in Ha/atom: -0.2496